(1)
An optimized crystal structure of LiCo2Ge. Source: OQMD, functional GGA-PBE.

Cell: 4.0313 4.0313 7.0175 Å, 90.00 90.00 120.00°
Fractional positions:
Co 0.6667 0.3333 0.0881
Co 0.6667 0.3333 0.4119
Co 0.3333 0.6667 0.5881
Co 0.3333 0.6667 0.9119
Ge 0.3333 0.6667 0.2500
Ge 0.6667 0.3333 0.7500
Li 0.0000 0.0000 0.0000
Li 0.0000 0.0000 0.5000

Its calculated density is 6.64 g/cm³.

(2)
An optimized crystal structure of Li4Al2CdPt. Source: OQMD, functional GGA-PBE.

Cell: 4.3706 4.3706 6.2765 Å, 90.00 90.00 90.00°
Fractional positions:
Al 0.0000 0.5000 0.2848
Al 0.5000 0.0000 0.7152
Cd 0.5000 0.5000 0.0000
Li 0.0000 0.0000 0.0000
Li 0.5000 0.0000 0.2605
Li 0.5000 0.5000 0.5000
Li 0.0000 0.5000 0.7395
Pt 0.0000 0.0000 0.5000

Its calculated density is 5.39 g/cm³.

Q: Which total magnetization values were calculated for the entries above? A: 0.62, 0.00, in μB per atom.
Q: Which raw total energy values were calculated for the entries above? A: -5.254, -3.216, in eV per atom.